VASP calculation (GGA-PBE) on a relaxed structure of PrPtS2O8.

## Properties
As for the space group: No. 164. For the formation energy without anion corrections, the calculation gives -16.92 eV per formula unit.

Cell lengths 5.1960, 5.1960, 7.7056 Å; angles 90.00, 90.00, 120.00 degrees
Sites, in units of the cell vectors:
Pr1 0.0000 0.0000 0.0000
Pt1 0.0000 0.0000 0.5000
S1 0.3333 0.6667 0.1952
S2 0.6667 0.3333 0.8048
O1 0.1757 0.3515 0.2539
O2 0.1757 0.8243 0.2539
O3 0.3333 0.6667 0.9994
O4 0.3515 0.1757 0.7461
O5 0.6485 0.8243 0.2539
O6 0.6667 0.3333 0.0006
O7 0.8243 0.1757 0.7461
O8 0.8243 0.6485 0.7461